MgPPd3 | GGA-PBEsol | optimized geometry

Lattice parameters (Å, degrees): 4.5062 4.5062 4.5062 90.00 90.00 90.00
Space group Pm-3m (No. 221)
Symmetry-distinct sites (fractional):
Mg 0.0000 0.0000 0.0000
P 0.5000 0.5000 0.5000
Pd 0.0000 0.0000 0.5000

energy relative to the elements: 4.24 eV/f.u.


Mg2PPt | GGA-PBEsol | optimized geometry

Lattice parameters (Å, degrees): 5.8173 7.3038 2.9627 90.00 90.00 90.00
Space group Cmmm (No. 65)
Symmetry-distinct sites (fractional):
Mg 0.2500 0.2500 0.0000
P 0.0000 0.0000 0.5000
Pt 0.0000 0.5000 0.5000

energy relative to the elements: -2.08 eV/f.u.